(1)
Compound: CrReN2F
Source: the Alexandria database
Functional: PBE+U
Structure: relaxed

Values from the calculation:
For the theoretical density, the calculation gives 8.22 g cm⁻³. The space-group type is P4/mmm. The value obtained for the raw total energy is -34.55 eV per cell. As for the energy above the lowest structure with this stoichiometry: 0.8049 eV/atom. For the magnetization, the calculation gives 5.9 μB/cell.

The structure in extended XYZ format:
```
5
Lattice="3.9651 0.0000 0.0000 0.0000 3.9651 0.0000 0.0000 0.0000 3.6645" Properties=species:S:1:pos:R:3 pbc="T T T"
Cr 0.0000 0.0000 0.0000
F 0.0000 0.0000 1.8322
N 1.9826 0.0000 0.0000
Re 1.9826 1.9826 1.8322
N 0.0000 1.9826 0.0000
```

(2)
Compound: CrReN2F
Source: the Alexandria database
Functional: PBE+U
Structure: relaxed

Values from the calculation:
For the theoretical density, the calculation gives 7.53 g cm⁻³. The space-group type is P4/mmm. The value obtained for the raw total energy is -38.57 eV per cell. As for the energy above the lowest structure with this stoichiometry: 0.0000 eV/atom. For the magnetization, the calculation gives 4.3 μB/cell.

The structure in extended XYZ format:
```
5
Lattice="-1.7180 3.3327 1.0499 0.9464 -0.6824 3.7147 3.5848 2.0188 -0.5424" Properties=species:S:1:pos:R:3 pbc="T T T"
Re 0.0000 0.0000 0.0000
N -0.8590 1.6663 0.5249
Cr 1.4066 2.3345 2.1111
F 1.7924 1.0094 -0.2712
N 0.4732 -0.3412 1.8574
```

(3)
Compound: CrRe2NF
Source: the Alexandria database
Functional: PBE+U
Structure: relaxed

Values from the calculation:
For the theoretical density, the calculation gives 10.41 g cm⁻³. The space-group type is P4/mmm. The value obtained for the raw total energy is -31.14 eV per cell. For the magnetization, the calculation gives 0.0 μB/cell.

The structure in extended XYZ format:
```
5
Lattice="4.5231 0.0000 0.0000 0.0000 3.5674 0.0000 0.0000 0.0000 4.5231" Properties=species:S:1:pos:R:3 pbc="T T T"
Re 0.0000 0.0000 2.2615
F 0.0000 1.7837 0.0000
Re 2.2615 0.0000 0.0000
N 2.2615 1.7837 2.2615
Cr 0.0000 0.0000 0.0000
```

(4)
Compound: CrRhNF2
Source: the Alexandria database
Functional: PBE+U
Structure: relaxed

Values from the calculation:
For the theoretical density, the calculation gives 5.66 g cm⁻³. The space-group type is P4/mmm. The value obtained for the raw total energy is -28.86 eV per cell. As for the energy above the lowest structure with this stoichiometry: 0.0125 eV/atom. For the magnetization, the calculation gives 1.0 μB/cell.

The structure in extended XYZ format:
```
5
Lattice="-3.1026 -1.4135 -1.6537 0.3885 -3.1942 2.0013 -2.3898 1.6402 3.0817" Properties=species:S:1:pos:R:3 pbc="T T T"
F 0.1943 -1.5971 1.0007
Rh -2.5519 -1.4838 1.7147
N -1.1949 0.8201 1.5409
F -1.5513 -0.7068 -0.8268
Cr 0.0000 0.0000 0.0000
```